# 1
Density functional theory data (PBE) for a geometry-optimized PrSi2IrPt structure.

Cell lengths 4.2152, 4.2152, 10.0045 Å; angles 90.00, 90.00, 90.00 degrees
Sites, in units of the cell vectors:
Pr 0.2500 0.2500 0.2453
Pr 0.7500 0.7500 0.7547
Si 0.2500 0.2500 0.6267
Si 0.2500 0.7500 0.0000
Si 0.7500 0.2500 0.0000
Si 0.7500 0.7500 0.3733
Ir 0.2500 0.7500 0.5000
Ir 0.7500 0.2500 0.5000
Pt 0.2500 0.2500 0.8754
Pt 0.7500 0.7500 0.1246

Raw total energy (eV per atom): -7.204



# 2
Density functional theory data (PBE) for a geometry-optimized Pr3Sn3Ir2Pt structure.

Cell lengths 7.5751, 7.5751, 4.1867 Å; angles 90.00, 90.00, 120.00 degrees
Sites, in units of the cell vectors:
Pr 0.0000 0.5873 0.0000
Pr 0.4127 0.4127 0.0000
Pr 0.5873 0.0000 0.0000
Sn 0.0000 0.2556 0.5000
Sn 0.2556 0.0000 0.5000
Sn 0.7444 0.7444 0.5000
Ir 0.3333 0.6667 0.5000
Ir 0.6667 0.3333 0.5000
Pt 0.0000 0.0000 0.0000

Raw total energy (eV per atom): -6.407



# 3
Density functional theory data (PBE) for a geometry-optimized PrSn2IrPt structure.

Cell lengths 4.5811, 4.5811, 10.7164 Å; angles 90.00, 90.00, 90.00 degrees
Sites, in units of the cell vectors:
Pr 0.2500 0.2500 0.2489
Pr 0.7500 0.7500 0.7511
Sn 0.2500 0.2500 0.6314
Sn 0.2500 0.7500 0.0000
Sn 0.7500 0.2500 0.0000
Sn 0.7500 0.7500 0.3686
Ir 0.2500 0.2500 0.8715
Ir 0.7500 0.7500 0.1285
Pt 0.2500 0.7500 0.5000
Pt 0.7500 0.2500 0.5000

Raw total energy (eV per atom): -6.236